[1]
First-principles (PBE-GGA) data for a relaxed structure of Tl5Cd2In12, as listed in the Alexandria database.

a = 16.5353 Å, b = 11.2174 Å, c = 5.8655 Å
α = 90.00°, β = 101.73°, γ = 90.00°
Space group C2/m (No. 12)
Asymmetric unit:
Tl: 0.0000 0.0000 0.0000
Tl: 0.1720 0.5000 0.3671
Tl: 0.2153 0.0000 0.0826
Cd: 0.0000 0.2591 0.5000
In: 0.0532 0.5000 0.7870
In: 0.0990 0.2550 0.1046
In: 0.0998 0.0000 0.5325
In: 0.1970 0.2436 0.6971

DFT total energy: -2.41 eV per atom
DFT formation energy: 0.89 kcal/mol of atoms
total moment: 0.00 μB/cell


[2]
First-principles (PBE-GGA) data for a relaxed structure of Tl2Cd5In5, as listed in the Alexandria database.

a = 5.6827 Å, b = 5.7367 Å, c = 10.0039 Å
α = 104.24°, β = 90.73°, γ = 97.78°
Space group P-1 (No. 2)
Asymmetric unit:
Tl: 0.0042 0.0178 0.1733
Cd: 0.0000 0.0000 0.5000
Cd: 0.2387 0.5154 0.4192
Cd: 0.2502 0.5092 0.0786
In: 0.2658 0.4846 0.7442
In: 0.4959 0.0159 0.3417
In: 0.5000 0.0000 0.0000

DFT total energy: -1.88 eV per atom
DFT formation energy: 0.87 kcal/mol of atoms
total moment: 0.00 μB/cell


[3]
First-principles (PBE-GGA) data for a relaxed structure of TlCdIn3, as listed in the Alexandria database.

a = 3.3914 Å, b = 3.3914 Å, c = 27.2010 Å
α = 90.00°, β = 90.00°, γ = 120.00°
Space group P6_3mc (No. 186)
Asymmetric unit:
Tl: 0.3333 0.6667 0.0000
Cd: 0.0000 0.0000 0.3008
In: 0.0000 0.0000 0.1073
In: 0.3333 0.6667 0.3934
In: 0.3333 0.6667 0.7075

DFT total energy: -2.27 eV per atom
DFT formation energy: 0.73 kcal/mol of atoms
total moment: 0.00 μB/cell
excess energy over the best structure of this formula in the dataset: 0 meV per atom


[4]
First-principles (PBE-GGA) data for a relaxed structure of Tl2Cd2In, as listed in the Alexandria database.

a = 8.9562 Å, b = 8.9562 Å, c = 3.5556 Å
α = 90.00°, β = 90.00°, γ = 90.00°
Space group P4/mbm (No. 127)
Asymmetric unit:
Tl: 0.1662 0.3338 0.0000
Cd: 0.1318 0.6318 0.5000
In: 0.0000 0.0000 0.0000

DFT total energy: -1.75 eV per atom
DFT formation energy: 2.53 kcal/mol of atoms
total moment: 0.00 μB/cell
excess energy over the best structure of this formula in the dataset: 72 meV per atom


[5]
First-principles (PBE-GGA) data for a relaxed structure of TlCd2In, as listed in the Alexandria database.

a = 4.5882 Å, b = 4.5882 Å, c = 9.9594 Å
α = 90.00°, β = 90.00°, γ = 90.00°
Space group I-4m2 (No. 119)
Asymmetric unit:
Tl: 0.0000 0.0000 0.0000
Cd: 0.0000 0.0000 0.5000
Cd: 0.0000 0.5000 0.7500
In: 0.0000 0.5000 0.2500

DFT total energy: -1.68 eV per atom
DFT formation energy: 1.27 kcal/mol of atoms
total moment: 0.00 μB/cell
excess energy over the best structure of this formula in the dataset: 32 meV per atom


[6]
First-principles (PBE-GGA) data for a relaxed structure of Tl3CdIn6, as listed in the Alexandria database.

a = 11.3494 Å, b = 11.3494 Å, c = 11.3494 Å
α = 90.00°, β = 90.00°, γ = 90.00°
Space group Fm-3m (No. 225)
Asymmetric unit:
Tl: 0.0000 0.0000 0.0000
Tl: 0.2500 0.2500 0.2500
Cd: 0.0000 0.0000 0.5000
In: 0.0000 0.0000 0.2549

DFT total energy: -2.08 eV per atom
DFT formation energy: 8.48 kcal/mol of atoms
total moment: 0.00 μB/cell


Q: The highest DFT formation energy belongs to which entry?
A: Tl3CdIn6


Q: The lowest DFT formation energy belongs to which entry?
A: TlCdIn3


Q: Which formula does entry 5 have?
A: TlCd2In


Q: Which value of DFT total energy does entry 2 give?
A: -1.88 eV per atom